Record 1
First-principles (PBE) data for a relaxed structure of ReAsSe, as listed in Alexandria via LeMat-Bulk.

Cell: 4.8129 4.8129 4.8129 Å, 142.24 131.94 62.68°
Sites, in units of the cell vectors:
Re 0.0000 0.0000 0.0000
As 0.3631 0.3631 0.0000
Se 0.6851 0.6851 0.0000

Output
Space-group type ... Imm2
Total magnetization ... 0.0 μB per formula unit
ΔE_f (raw) ... 63.0 kJ/mol of atoms
Volume ... 50 Å³/f.u.

Record 2
First-principles (PBE) data for a relaxed structure of Pm4Sn2C, as listed in Alexandria via LeMat-Bulk.

Cell: 8.9378 8.9378 8.9378 Å, 147.78 147.78 46.21°
Sites, in units of the cell vectors:
Pm 0.0000 0.5000 0.5000
Pm 0.1616 0.1616 0.0000
Pm 0.5000 0.0000 0.5000
Pm 0.8384 0.8384 0.0000
Sn 0.3608 0.3608 0.0000
Sn 0.6392 0.6392 0.0000
C 0.0000 0.0000 0.0000

Output
Space-group type ... I4/mmm
Total magnetization ... 0.0 μB per formula unit
ΔE_f ... -54.25 kJ/mol of atoms
Volume ... 202 Å³/f.u.

Record 3
First-principles (PBE) data for a relaxed structure of Ta4Mn3Fe, as listed in Alexandria via LeMat-Bulk.

Cell: 3.0695 4.3220 8.6347 Å, 90.00 90.00 90.00°
Sites, in units of the cell vectors:
Ta 0.0000 0.0000 0.0000
Ta 0.0000 0.0000 0.5000
Ta 0.0000 0.5000 0.2488
Ta 0.0000 0.5000 0.7512
Mn 0.5000 0.0000 0.2516
Mn 0.5000 0.0000 0.7484
Mn 0.5000 0.5000 0.0000
Fe 0.5000 0.5000 0.5000

Output
Space-group type ... Pmmm
Total magnetization ... 0.5 μB per formula unit
ΔE_f ... -20.86 kJ/mol of atoms
Volume ... 115 Å³/f.u.

Record 4
First-principles (PBE) data for a relaxed structure of Er2BeGePt6, as listed in Alexandria via LeMat-Bulk.

Cell: 5.6506 5.6506 7.3549 Å, 112.53 112.53 60.02°
Sites, in units of the cell vectors:
Er 0.2098 0.2098 0.1282
Er 0.7902 0.7902 0.8718
Be 0.0000 0.0000 0.5000
Ge 0.5000 0.5000 0.0000
Pt 0.2404 0.2404 0.7151
Pt 0.2401 0.7328 0.7144
Pt 0.2672 0.7599 0.2856
Pt 0.7328 0.2401 0.7144
Pt 0.7599 0.2672 0.2856
Pt 0.7596 0.7596 0.2849

Output
Space-group type ... C2/m
Total magnetization ... 0.0 μB per formula unit
ΔE_f ... -80.69 kJ/mol of atoms
Volume ... 182 Å³/f.u.